{
  "formula": "TbDyCoRu",
  "functional": "PBE-GGA",
  "state": "relaxed",
  "lattice": [[6.7570, 0.0000, 0.0000], [0.0000, 6.7570, 0.0000], [0.0000, 0.0000, 6.7570]],
  "species": ["Tb", "Tb", "Tb", "Tb", "Dy", "Dy", "Dy", "Dy", "Co", "Co", "Co", "Co", "Ru", "Ru", "Ru", "Ru"],
  "fractional_positions": [[0.0000, 0.0000, 0.0000], [0.0000, 0.5000, 0.5000], [0.5000, 0.0000, 0.5000], [0.5000, 0.5000, 0.0000], [0.0000, 0.0000, 0.5000], [0.0000, 0.5000, 0.0000], [0.5000, 0.0000, 0.0000], [0.5000, 0.5000, 0.5000], [0.2500, 0.2500, 0.2500], [0.2500, 0.7500, 0.7500], [0.7500, 0.2500, 0.7500], [0.7500, 0.7500, 0.2500], [0.2500, 0.2500, 0.7500], [0.2500, 0.7500, 0.2500], [0.7500, 0.2500, 0.2500], [0.7500, 0.7500, 0.7500]],
  "space_group": "F-43m (216)",
  "dos_at_fermi_per_ev_cell": 15.99,
  "formation_enthalpy_0k_ev_per_atom": -0.23
}